{
  "formula": "Li3Ir2Pt",
  "functional": "PBE-GGA",
  "state": "optimized geometry",
  "rho_g_cm3": 12.34,
  "final_energy_ev_per_atom": -5.2728,
  "lattice_angstrom": [[2.6892, 0.0000, 0.0000], [-1.3446, 2.3290, 0.0000], [0.0000, 0.0000, 12.9023]],
  "species": ["Li", "Li", "Li", "Ir", "Ir", "Pt"],
  "fractional_positions": [[0.0000, 0.0000, 0.0000], [0.3333, 0.6667, 0.6669], [0.6667, 0.3333, 0.3331], [0.3333, 0.6667, 0.1675], [0.6667, 0.3333, 0.8325], [0.0000, 0.0000, 0.5000]]
}